Arrangement 1

Material: NdY3Tl
Method: DFT, PBE-GGA
State: relaxed

a = 9.3637 Å, b = 9.3637 Å, c = 11.8660 Å
α = 107.14°, β = 107.14°, γ = 37.99°
Last column: nearest neighbours and their distance in Å.
Positions (direct):
Nd (0.6175, 0.0858, 0.5119)  3 Tl 3.37-3.60, 8 Y 3.46-3.60, 1 Nd 3.53
Nd (0.0858, 0.6175, 0.0119)  3 Tl 3.37-3.60, 8 Y 3.46-3.60, 1 Nd 3.53
Nd (0.9142, 0.3825, 0.9881)  3 Tl 3.37-3.60, 8 Y 3.46-3.60, 1 Nd 3.53
Nd (0.3825, 0.9142, 0.4881)  3 Tl 3.37-3.60, 8 Y 3.46-3.60, 1 Nd 3.53
Y (0.2292, 0.3508, 0.2502)  5 Y 3.36-3.48, 3 Tl 3.40-3.72, 3 Nd 3.50-3.56
Y (0.6896, 0.2022, 0.9810)  3 Tl 3.31-3.66, 6 Y 3.41-3.62, 3 Nd 3.50-3.60
Y (0.3508, 0.2292, 0.7502)  5 Y 3.36-3.48, 3 Tl 3.40-3.72, 3 Nd 3.50-3.56
Y (0.6492, 0.7708, 0.2498)  5 Y 3.36-3.48, 3 Tl 3.40-3.72, 3 Nd 3.50-3.56
Y (0.9752, 0.2129, 0.2474)  3 Tl 3.33-3.62, 6 Y 3.35-3.61, 2 Nd 3.46-3.57
Y (0.7871, 0.0248, 0.2526)  3 Tl 3.33-3.62, 6 Y 3.35-3.61, 2 Nd 3.46-3.57
Y (0.7978, 0.3104, 0.5190)  3 Tl 3.31-3.66, 6 Y 3.41-3.62, 3 Nd 3.50-3.60
Y (0.7708, 0.6492, 0.7498)  5 Y 3.36-3.48, 3 Tl 3.40-3.72, 3 Nd 3.50-3.56
Y (0.2129, 0.9752, 0.7474)  3 Tl 3.33-3.62, 6 Y 3.35-3.61, 2 Nd 3.46-3.57
Y (0.2022, 0.6896, 0.4810)  3 Tl 3.31-3.66, 6 Y 3.41-3.62, 3 Nd 3.50-3.60
Y (0.0248, 0.7871, 0.7526)  3 Tl 3.33-3.62, 6 Y 3.35-3.61, 2 Nd 3.46-3.57
Y (0.3104, 0.7978, 0.0190)  3 Tl 3.31-3.66, 6 Y 3.41-3.62, 3 Nd 3.50-3.60
Tl (0.5000, 0.0000, 0.0000)  8 Y 3.40-3.55, 4 Nd 3.44-3.60
Tl (0.4083, 0.5917, 0.2500)  8 Y 3.31-3.66, 2 Nd 3.37
Tl (0.5917, 0.4083, 0.7500)  8 Y 3.31-3.66, 2 Nd 3.37
Tl (0.0000, 0.5000, 0.5000)  8 Y 3.40-3.55, 4 Nd 3.44-3.60

Its calculated volume is 609 Å³ per cell.



Arrangement 2

Material: NdY3Tl
Method: DFT, PBE-GGA
State: relaxed

a = 4.9099 Å, b = 4.8891 Å, c = 12.9525 Å
α = 90.00°, β = 79.07°, γ = 90.00°
Last column: nearest neighbours and their distance in Å.
Positions (direct):
Y (0.3723, 0.2500, 0.9037)  8 Y 3.46-3.55, 2 Nd 3.54, 2 Tl 3.64
Y (0.2760, 0.7500, 0.0963)  8 Y 3.46-3.55, 2 Nd 3.54, 2 Tl 3.64
Y (0.5746, 0.2500, 0.4992)  4 Tl 3.45-3.48, 4 Y 3.46, 4 Nd 3.55-3.56
Y (0.7717, 0.2500, 0.1049)  8 Y 3.47-3.62, 2 Nd 3.47, 2 Tl 3.55
Y (0.8766, 0.7500, 0.8951)  8 Y 3.47-3.62, 2 Nd 3.47, 2 Tl 3.55
Y (0.0738, 0.7500, 0.5008)  4 Tl 3.45-3.48, 4 Y 3.46, 4 Nd 3.55-3.56
Nd (0.1753, 0.2500, 0.2978)  4 Tl 3.47, 8 Y 3.47-3.56
Nd (0.4731, 0.7500, 0.7022)  4 Tl 3.47, 8 Y 3.47-3.56
Tl (0.6705, 0.7500, 0.3073)  8 Y 3.45-3.64, 4 Nd 3.47
Tl (0.9778, 0.2500, 0.6927)  8 Y 3.45-3.64, 4 Nd 3.47

Its calculated volume is 305 Å³ per cell.



Tell me which of them is the least stable. Sure, it is arrangement 2.



Arrangement 1

Material: Nd2YTl4
Method: DFT, PBE-GGA
State: relaxed

a = 5.3412 Å, b = 5.3412 Å, c = 8.4942 Å
α = 108.32°, β = 108.32°, γ = 90.00°
Last column: nearest neighbours and their distance in Å.
Positions (direct):
Tl (0.8880, 0.3880, 0.7759)  2 Y 3.17, 4 Nd 3.38-3.41, 1 Tl 3.41
Tl (0.3880, 0.8880, 0.7759)  2 Y 3.17, 4 Nd 3.38-3.41, 1 Tl 3.41
Tl (0.6120, 0.1120, 0.2241)  2 Y 3.17, 4 Nd 3.38-3.41, 1 Tl 3.41
Tl (0.1120, 0.6120, 0.2241)  2 Y 3.17, 4 Nd 3.38-3.41, 1 Tl 3.41
Y (0.0000, 0.0000, 0.0000)  8 Tl 3.17
Nd (0.2517, 0.2517, 0.5034)  8 Tl 3.38-3.41, 4 Nd 3.78
Nd (0.7483, 0.7483, 0.4966)  8 Tl 3.38-3.41, 4 Nd 3.78

Its calculated volume is 217 Å³ per cell.



Arrangement 2

Material: Nd2YTl4
Method: DFT, PBE-GGA
State: relaxed

a = 5.8079 Å, b = 5.8079 Å, c = 8.9410 Å
α = 108.95°, β = 108.95°, γ = 90.00°
Last column: nearest neighbours and their distance in Å.
Positions (direct):
Tl (0.1941, 0.1941, 0.3883)  1 Y 3.08, 1 Nd 3.23
Tl (0.5000, 0.0000, 0.0000)  2 Y 2.90
Tl (0.8059, 0.8059, 0.6117)  1 Y 3.08, 1 Nd 3.23
Tl (0.0000, 0.5000, 0.0000)  2 Y 2.90
Y (0.0000, 0.0000, 0.0000)  6 Tl 2.90-3.08
Nd (0.6028, 0.6028, 0.2056)  5 Tl 3.23-3.33, 1 Nd 3.27
Nd (0.3972, 0.3972, 0.7944)  5 Tl 3.23-3.33, 1 Nd 3.27

Its calculated volume is 268 Å³ per cell.



Tell me which of them is the least stable. Sure, it is arrangement 2.



Arrangement 1

Material: NdY4Tl
Method: DFT, PBE-GGA
State: relaxed

a = 5.4255 Å, b = 6.5982 Å, c = 6.8134 Å
α = 62.05°, β = 66.54°, γ = 65.72°
Last column: nearest neighbours and their distance in Å.
Positions (direct):
Tl (0.0000, 0.0000, 0.0000)  6 Y 3.16-3.28, 2 Nd 3.46
Y (0.3539, 0.9973, 0.2950)  2 Tl 3.28, 4 Y 3.41-3.66
Y (0.6461, 0.0027, 0.7050)  2 Tl 3.28, 4 Y 3.41-3.66
Y (0.6981, 0.4352, 0.1686)  1 Tl 3.16, 3 Y 3.35-3.41, 2 Nd 3.52
Y (0.3019, 0.5648, 0.8314)  1 Tl 3.16, 3 Y 3.35-3.41, 2 Nd 3.52
Nd (0.0000, 0.5000, 0.5000)  2 Tl 3.46, 6 Y 3.52-3.69

Its calculated volume is 190 Å³ per cell.



Arrangement 2

Material: NdY4Tl
Method: DFT, PBE-GGA
State: relaxed

a = 5.6604 Å, b = 6.5722 Å, c = 10.9679 Å
α = 90.00°, β = 104.95°, γ = 90.00°
Last column: nearest neighbours and their distance in Å.
Positions (direct):
Y (0.0613, 0.7095, 0.1226)  2 Tl 3.36, 4 Y 3.57-3.74, 2 Nd 3.62-3.68
Y (0.2547, 0.5937, 0.5094)  1 Tl 3.20, 3 Y 3.21-3.43, 1 Nd 3.54
Y (0.3163, 0.0756, 0.6325)  1 Tl 3.04, 3 Y 3.21-3.28
Y (0.5405, 0.3863, 0.0809)  2 Tl 3.03-3.12, 1 Y 3.28
Y (0.6837, 0.5756, 0.3675)  1 Tl 3.04, 3 Y 3.21-3.28
Y (0.9387, 0.2095, 0.8774)  2 Tl 3.36, 4 Y 3.57-3.74, 2 Nd 3.62-3.68
Y (0.4595, 0.8863, 0.9191)  2 Tl 3.03-3.12, 1 Y 3.28
Y (0.7453, 0.0937, 0.4906)  1 Tl 3.20, 3 Y 3.21-3.43, 1 Nd 3.54
Nd (0.1360, 0.2149, 0.2721)  2 Tl 3.39, 7 Y 3.54-3.74
Nd (0.8640, 0.7149, 0.7279)  2 Tl 3.39, 7 Y 3.54-3.74
Tl (0.6009, 0.9534, 0.2018)  6 Y 3.03-3.36
Tl (0.3991, 0.4534, 0.7982)  6 Y 3.03-3.36

Its calculated volume is 394 Å³ per cell.



Tell me which of them is the least stable. Sure, it is arrangement 2.



Arrangement 1

Material: Nd5YTl2
Method: DFT, PBE-GGA
State: relaxed

a = 3.7139 Å, b = 8.5676 Å, c = 8.5676 Å
α = 80.65°, β = 77.48°, γ = 77.48°
Last column: nearest neighbours and their distance in Å.
Positions (direct):
Tl (0.2776, 0.2224, 0.2224)  7 Nd 3.28-3.53, 2 Y 3.35
Tl (0.7224, 0.7776, 0.7776)  7 Nd 3.28-3.53, 2 Y 3.35
Nd (0.3613, 0.8589, 0.4185)  3 Tl 3.28-3.53, 5 Nd 3.41-3.53
Nd (0.6387, 0.1411, 0.5815)  3 Tl 3.28-3.53, 5 Nd 3.41-3.53
Nd (0.3613, 0.4185, 0.8589)  3 Tl 3.28-3.53, 5 Nd 3.41-3.53
Nd (0.6387, 0.5815, 0.1411)  3 Tl 3.28-3.53, 5 Nd 3.41-3.53
Nd (0.0000, 0.5000, 0.5000)  2 Tl 3.48, 10 Nd 3.53-3.71
Y (0.0000, 0.0000, 0.0000)  4 Tl 3.35, 2 Y 3.71

Its calculated volume is 258 Å³ per cell.



Arrangement 2

Material: Nd5YTl2
Method: DFT, PBE-GGA
State: relaxed

a = 5.5879 Å, b = 5.5879 Å, c = 20.3763 Å
α = 90.00°, β = 90.00°, γ = 120.00°
Last column: nearest neighbours and their distance in Å.
Positions (direct):
Nd (0.6667, 0.3333, 0.2500)  3 Y 3.23
Nd (0.0000, 0.0000, 0.8388)  3 Tl 3.49, 7 Nd 3.62-3.81, 3 Y 3.70
Nd (0.0000, 0.0000, 0.1612)  3 Tl 3.49, 7 Nd 3.62-3.81, 3 Y 3.70
Nd (0.3333, 0.6667, 0.5617)  4 Tl 3.22-3.30
Nd (0.6667, 0.3333, 0.0617)  4 Tl 3.22-3.30
Nd (0.0000, 0.0000, 0.6612)  3 Tl 3.49, 7 Nd 3.62-3.81, 3 Y 3.70
Nd (0.3333, 0.6667, 0.7500)  3 Y 3.23
Nd (0.6667, 0.3333, 0.4383)  4 Tl 3.22-3.30
Nd (0.3333, 0.6667, 0.9383)  4 Tl 3.22-3.30
Nd (0.0000, 0.0000, 0.3388)  3 Tl 3.49, 7 Nd 3.62-3.81, 3 Y 3.70
Tl (0.6667, 0.3333, 0.5965)  1 Y 3.13, 7 Nd 3.22-3.49
Tl (0.3333, 0.6667, 0.0965)  1 Y 3.13, 7 Nd 3.22-3.49
Tl (0.3333, 0.6667, 0.4035)  1 Y 3.13, 7 Nd 3.22-3.49
Tl (0.6667, 0.3333, 0.9035)  1 Y 3.13, 7 Nd 3.22-3.49
Y (0.3333, 0.6667, 0.2500)  2 Tl 3.13, 3 Nd 3.23
Y (0.6667, 0.3333, 0.7500)  2 Tl 3.13, 3 Nd 3.23

Its calculated volume is 551 Å³ per cell.



Tell me which of them is the least stable. Sure, it is arrangement 2.



Arrangement 1

Material: NdY6Tl2
Method: DFT, PBE-GGA
State: relaxed

a = 6.0476 Å, b = 9.7610 Å, c = 9.7610 Å
α = 72.84°, β = 84.11°, γ = 84.11°
Last column: nearest neighbours and their distance in Å.
Positions (direct):
Tl (0.4072, 0.5295, 0.7870)  8 Y 3.18-3.43
Tl (0.0928, 0.2130, 0.4705)  8 Y 3.18-3.43
Tl (0.9072, 0.7870, 0.5295)  8 Y 3.18-3.43
Tl (0.5928, 0.4705, 0.2130)  8 Y 3.18-3.43
Y (0.6672, 0.1059, 0.3565)  3 Tl 3.28-3.42, 5 Y 3.33-3.54, 1 Nd 3.61
Y (0.9836, 0.4419, 0.6734)  3 Tl 3.18-3.38, 5 Y 3.23-3.55
Y (0.4836, 0.6734, 0.4419)  3 Tl 3.18-3.38, 5 Y 3.23-3.55
Y (0.3037, 0.7358, 0.0204)  2 Tl 3.19-3.43, 4 Y 3.38-3.54, 2 Nd 3.48-3.52
Y (0.3328, 0.8941, 0.6435)  3 Tl 3.28-3.42, 5 Y 3.33-3.54, 1 Nd 3.61
Y (0.1672, 0.3565, 0.1059)  3 Tl 3.28-3.42, 5 Y 3.33-3.54, 1 Nd 3.61
Y (0.0164, 0.5581, 0.3266)  3 Tl 3.18-3.38, 5 Y 3.23-3.55
Y (0.6963, 0.2642, 0.9796)  2 Tl 3.19-3.43, 4 Y 3.38-3.54, 2 Nd 3.48-3.52
Y (0.8037, 0.0204, 0.7358)  2 Tl 3.19-3.43, 4 Y 3.38-3.54, 2 Nd 3.48-3.52
Y (0.5164, 0.3266, 0.5581)  3 Tl 3.18-3.38, 5 Y 3.23-3.55
Y (0.8328, 0.6435, 0.8941)  3 Tl 3.28-3.42, 5 Y 3.33-3.54, 1 Nd 3.61
Y (0.1963, 0.9796, 0.2642)  2 Tl 3.19-3.43, 4 Y 3.38-3.54, 2 Nd 3.48-3.52
Nd (0.7500, 0.8906, 0.1094)  10 Y 3.48-3.66
Nd (0.2500, 0.1094, 0.8906)  10 Y 3.48-3.66

Its calculated volume is 546 Å³ per cell.



Arrangement 2

Material: NdY6Tl2
Method: DFT, PBE-GGA
State: relaxed

a = 3.7759 Å, b = 6.6980 Å, c = 12.0181 Å
α = 74.68°, β = 80.96°, γ = 73.63°
Last column: nearest neighbours and their distance in Å.
Positions (direct):
Y (0.3123, 0.5013, 0.8741)  2 Tl 3.30, 5 Y 3.53-3.63
Y (0.3087, 0.7983, 0.5842)  2 Tl 3.31, 8 Y 3.45-3.63
Y (0.6877, 0.4987, 0.1259)  2 Tl 3.30, 5 Y 3.53-3.63
Y (0.9866, 0.6805, 0.3464)  2 Tl 3.24, 4 Y 3.54-3.62
Y (0.0134, 0.3195, 0.6536)  2 Tl 3.24, 4 Y 3.54-3.62
Y (0.6913, 0.2017, 0.4158)  2 Tl 3.31, 8 Y 3.45-3.63
Tl (0.6417, 0.9301, 0.7864)  6 Y 3.24-3.31, 2 Nd 3.27
Tl (0.3583, 0.0699, 0.2136)  6 Y 3.24-3.31, 2 Nd 3.27
Nd (0.0000, 0.0000, 0.0000)  4 Tl 3.27

Its calculated volume is 280 Å³ per cell.



Tell me which of them is the least stable. Sure, it is arrangement 1.



Arrangement 1

Material: Nd2Y2Tl3
Method: DFT, PBE-GGA
State: relaxed

a = 3.5890 Å, b = 3.5887 Å, c = 16.4094 Å
α = 90.00°, β = 83.72°, γ = 90.00°
Last column: nearest neighbours and their distance in Å.
Positions (direct):
Nd (0.5694, 0.5000, 0.8611)  8 Tl 3.40, 4 Nd 3.59
Nd (0.4306, 0.5000, 0.1389)  8 Tl 3.40, 4 Nd 3.59
Tl (0.0000, 0.0000, 0.0000)  8 Nd 3.40, 4 Tl 3.59
Tl (0.1390, 0.0000, 0.7220)  4 Y 3.27, 4 Nd 3.40, 4 Tl 3.59
Tl (0.8610, 0.0000, 0.2780)  4 Y 3.27, 4 Nd 3.40, 4 Tl 3.59
Y (0.2977, 0.5000, 0.4046)  4 Tl 3.27, 6 Y 3.59
Y (0.7023, 0.5000, 0.5954)  4 Tl 3.27, 6 Y 3.59

Its calculated volume is 210 Å³ per cell.



Arrangement 2

Material: Nd2Y2Tl3
Method: DFT, PBE-GGA
State: relaxed

a = 3.8145 Å, b = 8.7580 Å, c = 6.4741 Å
α = 93.40°, β = 72.92°, γ = 90.03°
Last column: nearest neighbours and their distance in Å.
Positions (direct):
Tl (0.8516, 0.4547, 0.2968)  4 Y 3.19-3.48, 2 Tl 3.22, 2 Nd 3.33
Tl (0.1484, 0.5453, 0.7032)  4 Y 3.19-3.48, 2 Tl 3.22, 2 Nd 3.33
Tl (0.0000, 0.0000, 0.0000)  4 Y 3.29, 4 Nd 3.42
Nd (0.7070, 0.8411, 0.5866)  5 Tl 3.33-3.73, 3 Y 3.56-3.58, 2 Nd 3.59
Nd (0.2930, 0.1589, 0.4134)  5 Tl 3.33-3.73, 3 Y 3.56-3.58, 2 Nd 3.59
Y (0.5622, 0.2876, 0.8760)  6 Tl 3.19-3.48, 2 Nd 3.56-3.57
Y (0.4378, 0.7124, 0.1240)  6 Tl 3.19-3.48, 2 Nd 3.56-3.57

Its calculated volume is 206 Å³ per cell.



Tell me which of them is the least stable. Sure, it is arrangement 1.